Record 1
15
Lattice="3.549 2.049 5.199 -3.549 2.049 5.199 0.000 -4.098 5.199" Properties=species:S:1:pos:R:3 comment="Fe6CoPt8 (GGA-PBE, optimized geometry)" space_group="R-3, No. 148" e_tot_ev_per_cell=-106.34 delta_e_f_ev_per_atom=-0.0088 pbc="T T T"
Fe -1.071 -2.243 7.192
Fe -2.478 -0.194 8.407
Fe -1.407 2.049 7.192
Fe 1.407 -2.049 8.407
Fe 2.478 0.194 7.192
Fe 1.071 2.243 8.407
Co 0.000 0.000 7.799
Pt -2.070 0.115 5.852
Pt 0.000 0.000 3.666
Pt -1.134 -1.735 9.747
Pt 0.936 -1.850 5.852
Pt -0.936 1.850 9.747
Pt 1.134 1.735 5.852
Pt 0.000 0.000 11.933
Pt 2.070 -0.115 9.747

---

Record 2
5
Lattice="4.194 0.000 0.000 0.000 4.194 0.000 0.000 0.000 4.194" Properties=species:S:1:pos:R:3 comment="FeCo3Pt (GGA-PBE, optimized geometry)" space_group="Pm-3m, No. 221" e_tot_ev_per_cell=-30.43 delta_e_f_ev_per_atom=1.0777 de_polymorph_ev_per_atom=1.129 pbc="T T T"
Fe 0.000 0.000 0.000
Co 0.000 0.000 2.097
Co 0.000 2.097 0.000
Co 2.097 0.000 0.000
Pt 2.097 2.097 2.097

---

Record 3
4
Lattice="2.615 -3.637 0.000 2.615 3.637 0.000 0.000 0.000 2.642" Properties=species:S:1:pos:R:3 comment="FeCo2Pt (GGA-PBE, optimized geometry)" space_group="Cmmm, No. 65" e_tot_ev_per_cell=-28.92 delta_e_f_ev_per_atom=-0.0504 pbc="T T T"
Fe 0.000 0.000 0.000
Co 1.308 1.819 1.321
Co 1.308 -1.819 1.321
Pt 2.615 0.000 0.000

---

Record 4
24
Lattice="6.598 -8.791 0.000 6.598 8.791 0.000 0.000 0.000 2.772" Properties=species:S:1:pos:R:3 comment="Fe11Co4Pt9 (GGA-PBE, optimized geometry)" space_group="Cmmm, No. 65" e_tot_ev_per_cell=-179.06 delta_e_f_ev_per_atom=-0.1323 pbc="T T T"
Fe 0.000 0.000 0.000
Fe 3.292 3.176 0.000
Fe 6.598 6.234 0.000
Fe 3.897 0.000 0.000
Fe 6.598 2.444 0.000
Fe 3.292 -3.176 0.000
Fe 9.904 3.176 0.000
Fe 6.598 -2.444 0.000
Fe 9.299 0.000 0.000
Fe 6.598 -6.234 0.000
Fe 9.904 -3.176 0.000
Co 4.689 1.800 1.386
Co 4.689 -1.800 1.386
Co 8.507 1.800 1.386
Co 8.507 -1.800 1.386
Pt 1.933 1.378 1.386
Pt 5.215 4.411 1.386
Pt 1.933 -1.378 1.386
Pt 7.981 4.411 1.386
Pt 6.598 0.000 1.386
Pt 5.215 -4.411 1.386
Pt 11.263 1.378 1.386
Pt 7.981 -4.411 1.386
Pt 11.263 -1.378 1.386